DFT (PBE) results for crystalline Tl2Pd2O5 at its relaxed geometry.

Results
- energy (eV per atom) = -4.797
- relative energy among the computed polymorphs (meV per atom) = 0
- calculated density (g/cm³) = 9.37

Lattice parameters (Å, degrees): 3.9601 3.9601 7.9276 90.00 90.00 90.00
With the nearest neighbours (Å) after each atom.
Atoms (fractional coordinates):
Tl 0.0000 0.0000 0.0000  8 O 2.44
Tl 0.0000 0.0000 0.5000  4 O 2.80
Pd 0.5000 0.5000 0.2364  5 O 2.03-2.09
Pd 0.5000 0.5000 0.7636  5 O 2.03-2.09
O 0.0000 0.5000 0.1793  2 Pd 2.03
O 0.0000 0.5000 0.8207  2 Pd 2.03
O 0.5000 0.0000 0.1793  2 Pd 2.03
O 0.5000 0.0000 0.8207  2 Pd 2.03
O 0.5000 0.5000 0.5000  2 Pd 2.09